(1)
# PBE SiPbO3, relaxed
data_SiPbO3
_chemical_formula_sum 'Si4 Pb4 O12'
_cell_length_a 5.7332
_cell_length_b 10.3810
_cell_length_c 5.4740
_cell_angle_alpha 90.00
_cell_angle_beta 90.76
_cell_angle_gamma 90.00
_symmetry_space_group_name_H-M 'C 1 c 1'
_symmetry_Int_Tables_number 9
loop_
_symmetry_equiv_pos_as_xyz
'x,y,z'
'x,-y,z+1/2'
'x+1/2,y+1/2,z'
'x+1/2,-y+1/2,z+1/2'
loop_
_atom_site_label
_atom_site_type_symbol
_atom_site_fract_x
_atom_site_fract_y
_atom_site_fract_z
_atom_site_occupancy
Si1 Si 0.0000 0.0356 0.0000 1
Pb1 Pb 0.0552 0.3392 0.7164 1
O1 O 0.1606 0.0099 0.7493 1
O2 O 0.2657 0.4472 0.0039 1
O3 O 0.4485 0.3110 0.5313 1
# Total energy (eV per atom): -6.895
# Calculated volume (Å³/atom): 16.29
# Formation energy from raw total energies (eV/atom): -2.094

=====

(2)
# PBE ZrTlMo4, relaxed
data_ZrTlMo4
_chemical_formula_sum 'Zr4 Tl4 Mo16'
_cell_length_a 7.6019
_cell_length_b 7.6019
_cell_length_c 7.6019
_cell_angle_alpha 90.00
_cell_angle_beta 90.00
_cell_angle_gamma 90.00
_symmetry_space_group_name_H-M 'F -4 3 m'
_symmetry_Int_Tables_number 216
_symmetry_space_group_name_Hall 'F -4 2 3'
loop_
_atom_site_label
_atom_site_type_symbol
_atom_site_fract_x
_atom_site_fract_y
_atom_site_fract_z
_atom_site_occupancy
Zr1 Zr 0.0000 0.0000 0.0000 1
Tl1 Tl 0.2500 0.2500 0.2500 1
Mo1 Mo 0.1243 0.1243 0.6243 1
# Total energy (eV per atom): -8.833
# Calculated volume (Å³/atom): 18.30
# Formation enthalpy at 0 K (eV/atom): 0.207

=====

(3)
# PBE Ac2AsRu, relaxed
data_Ac2AsRu
_chemical_formula_sum 'Ac2 As1 Ru1'
_cell_length_a 5.2525
_cell_length_b 5.2525
_cell_length_c 3.9233
_cell_angle_alpha 90.00
_cell_angle_beta 90.00
_cell_angle_gamma 90.00
_symmetry_space_group_name_H-M 'P 4/m m m'
_symmetry_Int_Tables_number 123
_symmetry_space_group_name_Hall '-P 4 2'
loop_
_atom_site_label
_atom_site_type_symbol
_atom_site_fract_x
_atom_site_fract_y
_atom_site_fract_z
_atom_site_occupancy
Ac1 Ac 0.0000 0.5000 0.0000 1
As1 As 0.0000 0.0000 0.5000 1
Ru1 Ru 0.5000 0.5000 0.5000 1
# Total energy (eV per atom): -5.969
# Calculated volume (Å³/atom): 27.06
# Formation enthalpy at 0 K (eV/atom): -0.433
# Energy above the most stable polymorph in this dataset (eV per atom): 0.0000

=====

(4)
# PBE Pt2C, relaxed
data_Pt2C
_chemical_formula_sum 'Pt6 C3'
_cell_length_a 6.3273
_cell_length_b 6.3273
_cell_length_c 3.6407
_cell_angle_alpha 90.00
_cell_angle_beta 90.00
_cell_angle_gamma 120.00
_symmetry_space_group_name_H-M 'P -6 2 m'
_symmetry_Int_Tables_number 189
_symmetry_space_group_name_Hall 'P -6 -2'
loop_
_atom_site_label
_atom_site_type_symbol
_atom_site_fract_x
_atom_site_fract_y
_atom_site_fract_z
_atom_site_occupancy
Pt1 Pt 0.0000 0.3685 0.0000 1
Pt2 Pt 0.0000 0.6985 0.5000 1
C1 C 0.0000 0.0000 0.5000 1
C2 C 0.3333 0.6667 0.0000 1
# Total energy (eV per atom): -6.448
# Calculated volume (Å³/atom): 14.03
# Formation enthalpy at 0 K (eV/atom): 0.654
# Energy above the most stable polymorph in this dataset (eV per atom): 0.0968

=====

(5)
# PBE K3TaP, relaxed
data_K3TaP
_chemical_formula_sum 'K3 Ta1 P1'
_cell_length_a 6.5126
_cell_length_b 6.5126
_cell_length_c 6.5126
_cell_angle_alpha 90.00
_cell_angle_beta 90.00
_cell_angle_gamma 90.00
_symmetry_space_group_name_H-M 'P m -3 m'
_symmetry_Int_Tables_number 221
_symmetry_space_group_name_Hall '-P 4 2 3'
loop_
_atom_site_label
_atom_site_type_symbol
_atom_site_fract_x
_atom_site_fract_y
_atom_site_fract_z
_atom_site_occupancy
K1 K 0.0000 0.0000 0.5000 1
Ta1 Ta 0.0000 0.0000 0.0000 1
P1 P 0.5000 0.5000 0.5000 1
# Total energy (eV per atom): -2.453
# Calculated volume (Å³/atom): 55.25
# Formation enthalpy at 0 K (eV/atom): 1.658
# Energy above the most stable polymorph in this dataset (eV per atom): 0.4035

=====

(6)
# PBE LaGaB3, relaxed
data_LaGaB3
_chemical_formula_sum 'La1 Ga1 B3'
_cell_length_a 4.2330
_cell_length_b 4.2330
_cell_length_c 4.2330
_cell_angle_alpha 90.00
_cell_angle_beta 90.00
_cell_angle_gamma 90.00
_symmetry_space_group_name_H-M 'P m -3 m'
_symmetry_Int_Tables_number 221
_symmetry_space_group_name_Hall '-P 4 2 3'
loop_
_atom_site_label
_atom_site_type_symbol
_atom_site_fract_x
_atom_site_fract_y
_atom_site_fract_z
_atom_site_occupancy
La1 La 0.0000 0.0000 0.0000 1
Ga1 Ga 0.5000 0.5000 0.5000 1
B1 B 0.0000 0.5000 0.5000 1
# Total energy (eV per atom): -4.663
# Calculated volume (Å³/atom): 15.17
# Formation enthalpy at 0 K (eV/atom): 0.935
# Energy above the most stable polymorph in this dataset (eV per atom): 0.0000

=====

(7)
# PBE LiHgPt2, relaxed
data_LiHgPt2
_chemical_formula_sum 'Li1 Hg1 Pt2'
_cell_length_a 2.8257
_cell_length_b 4.7925
_cell_length_c 4.8623
_cell_angle_alpha 90.00
_cell_angle_beta 91.40
_cell_angle_gamma 90.00
_symmetry_space_group_name_H-M 'P 1 2/m 1'
_symmetry_Int_Tables_number 10
loop_
_symmetry_equiv_pos_as_xyz
'x,y,z'
'-x,-y,-z'
'-x,y,-z'
'x,-y,z'
loop_
_atom_site_label
_atom_site_type_symbol
_atom_site_fract_x
_atom_site_fract_y
_atom_site_fract_z
_atom_site_occupancy
Li1 Li 0.0000 0.0000 0.0000 1
Hg1 Hg 0.5000 0.0000 0.5000 1
Pt1 Pt 0.2446 0.5000 0.7585 1
# Total energy (eV per atom): -3.834
# Calculated volume (Å³/atom): 16.46
# Formation enthalpy at 0 K (eV/atom): -0.259

=====

(8)
# PBE DyErPb, relaxed
data_DyErPb
_chemical_formula_sum 'Dy4 Er4 Pb4'
_cell_length_a 3.4251
_cell_length_b 17.6757
_cell_length_c 6.0380
_cell_angle_alpha 90.00
_cell_angle_beta 90.00
_cell_angle_gamma 90.00
_symmetry_space_group_name_H-M 'C m c m'
_symmetry_Int_Tables_number 63
_symmetry_space_group_name_Hall '-C 2c 2'
loop_
_atom_site_label
_atom_site_type_symbol
_atom_site_fract_x
_atom_site_fract_y
_atom_site_fract_z
_atom_site_occupancy
Dy1 Dy 0.0000 0.1632 0.2500 1
Er1 Er 0.0000 0.5000 0.0000 1
Pb1 Pb 0.0000 0.3417 0.2500 1
# Total energy (eV per atom): -4.432
# Calculated volume (Å³/atom): 30.46
# Formation enthalpy at 0 K (eV/atom): -0.141
# Energy above the most stable polymorph in this dataset (eV per atom): 0.2733

=====

(9)
# PBE Cs2ThSnSe4, relaxed
data_Cs2ThSnSe4
_chemical_formula_sum 'Cs2 Th1 Sn1 Se4'
_cell_length_a 7.7455
_cell_length_b 4.4477
_cell_length_c 8.6720
_cell_angle_alpha 90.00
_cell_angle_beta 106.83
_cell_angle_gamma 90.00
_symmetry_space_group_name_H-M 'P 1 2/m 1'
_symmetry_Int_Tables_number 10
loop_
_symmetry_equiv_pos_as_xyz
'x,y,z'
'-x,-y,-z'
'-x,y,-z'
'x,-y,z'
loop_
_atom_site_label
_atom_site_type_symbol
_atom_site_fract_x
_atom_site_fract_y
_atom_site_fract_z
_atom_site_occupancy
Cs1 Cs 0.0000 0.0000 0.0000 1
Cs2 Cs 0.5000 0.5000 0.0000 1
Th1 Th 0.0000 0.5000 0.5000 1
Sn1 Sn 0.5000 0.0000 0.5000 1
Se1 Se 0.2182 0.0000 0.6878 1
Se2 Se 0.2534 0.5000 0.3113 1
# Total energy (eV per atom): -4.673
# Calculated volume (Å³/atom): 35.74
# Formation energy from raw total energies (eV/atom): -1.290

=====

(10)
# PBE Tb9Nd11Sc4, relaxed
data_Tb9Nd11Sc4
_chemical_formula_sum 'Tb18 Nd22 Sc8'
_cell_length_a 16.9032
_cell_length_b 25.5982
_cell_length_c 3.6046
_cell_angle_alpha 90.00
_cell_angle_beta 90.00
_cell_angle_gamma 90.00
_symmetry_space_group_name_H-M 'C m m m'
_symmetry_Int_Tables_number 65
_symmetry_space_group_name_Hall '-C 2 2'
loop_
_atom_site_label
_atom_site_type_symbol
_atom_site_fract_x
_atom_site_fract_y
_atom_site_fract_z
_atom_site_occupancy
Tb1 Tb 0.0000 0.0000 0.0000 1
Tb2 Tb 0.1026 0.2308 0.0000 1
Tb3 Tb 0.1450 0.4279 0.0000 1
Nd1 Nd 0.0000 0.1292 0.5000 1
Nd2 Nd 0.0000 0.3400 0.5000 1
Nd3 Nd 0.0000 0.5000 0.5000 1
Nd4 Nd 0.2013 0.0000 0.5000 1
Nd5 Nd 0.2256 0.3200 0.5000 1
Sc1 Sc 0.1568 0.1022 0.0000 1
# Total energy (eV per atom): -4.925
# Calculated volume (Å³/atom): 32.49
# Formation enthalpy at 0 K (eV/atom): 0.052

=====

(11)
# PBE Mg8Zn2Ir, relaxed
data_Mg8Zn2Ir
_chemical_formula_sum 'Mg16 Zn4 Ir2'
_cell_length_a 14.9166
_cell_length_b 6.7378
_cell_length_c 4.5415
_cell_angle_alpha 90.00
_cell_angle_beta 107.38
_cell_angle_gamma 90.00
_symmetry_space_group_name_H-M 'C 1 2 1'
_symmetry_Int_Tables_number 5
loop_
_symmetry_equiv_pos_as_xyz
'x,y,z'
'-x,y,-z'
'x+1/2,y+1/2,z'
'-x+1/2,y+1/2,-z'
loop_
_atom_site_label
_atom_site_type_symbol
_atom_site_fract_x
_atom_site_fract_y
_atom_site_fract_z
_atom_site_occupancy
Mg1 Mg 0.0000 0.0000 0.0000 1
Mg2 Mg 0.0000 0.3319 0.5000 1
Mg3 Mg 0.1015 0.6375 0.1014 1
Mg4 Mg 0.1538 0.9658 0.6536 1
Mg5 Mg 0.1994 0.4629 0.6990 1
Zn1 Zn 0.1580 0.2409 0.1581 1
Ir1 Ir 0.0000 0.7312 0.5000 1
# Total energy (eV per atom): -2.341
# Calculated volume (Å³/atom): 19.80
# Formation enthalpy at 0 K (eV/atom): -0.144
# Energy above the most stable polymorph in this dataset (eV per atom): 0.0000

=====

(12)
# PBE Pa2Ni4AsP3, relaxed
data_Pa2Ni4AsP3
_chemical_formula_sum 'Pa2 Ni4 As1 P3'
_cell_length_a 4.1204
_cell_length_b 4.1204
_cell_length_c 8.8050
_cell_angle_alpha 90.00
_cell_angle_beta 90.00
_cell_angle_gamma 90.00
_symmetry_space_group_name_H-M 'P -4 m 2'
_symmetry_Int_Tables_number 115
loop_
_symmetry_equiv_pos_as_xyz
'x,y,z'
'y,-x,-z'
'-x,-y,z'
'-y,x,-z'
'-x,y,z'
'-y,-x,-z'
'x,-y,z'
'y,x,-z'
loop_
_atom_site_label
_atom_site_type_symbol
_atom_site_fract_x
_atom_site_fract_y
_atom_site_fract_z
_atom_site_occupancy
Pa1 Pa 0.0000 0.5000 0.2449 1
Ni1 Ni 0.0000 0.0000 0.0000 1
Ni2 Ni 0.0000 0.5000 0.6205 1
Ni3 Ni 0.5000 0.5000 0.0000 1
As1 As 0.0000 0.0000 0.5000 1
P1 P 0.0000 0.5000 0.8722 1
P2 P 0.5000 0.5000 0.5000 1
# Total energy (eV per atom): -7.138
# Calculated volume (Å³/atom): 14.95
# Formation enthalpy at 0 K (eV/atom): -0.838